Entry 1:
Computed, not measured: crystalline Y2MoW at its relaxed geometry at the PBE level of DFT.

The structure in POSCAR format:
```
Y2MoW
1.0
3.304 0.000 0.000
0.000 3.304 0.000
0.000 0.000 8.460
Mo W Y
1 1 2
direct
0.000 0.000 0.546
0.500 0.500 0.701
0.000 0.000 0.944
0.500 0.500 0.309
```

Values from the calculation:
- Uncorrected energy: -0.330 Ha/atom
- Relative energy among the computed polymorphs: 0.0 kJ/mol of atoms
- N(E_F): 0.91 states/eV/atom


Entry 2:
Computed, not measured: crystalline YMo4W at its relaxed geometry at the PBE level of DFT.

The structure in POSCAR format:
```
YMo4W
1.0
-2.900 -2.238 3.897
-2.012 3.036 3.916
-5.268 0.886 0.258
Y Mo W
1 4 1
direct
0.000 0.000 0.000
0.873 0.376 0.376
0.376 0.376 0.873
0.376 0.873 0.376
0.376 0.376 0.376
0.750 0.750 0.750
```

Values from the calculation:
- Uncorrected energy: -0.376 Ha/atom
- N(E_F): 0.59 states/eV/atom


Entry 3:
Computed, not measured: crystalline YMoW at its relaxed geometry at the PBE level of DFT.

The structure in POSCAR format:
```
YMoW
1.0
-0.562 -2.202 -2.235
-0.636 -0.634 3.059
-6.378 2.458 -0.817
Mo W Y
1 1 1
direct
0.000 0.000 0.036
0.667 0.333 0.296
0.333 0.667 0.668
```

Values from the calculation:
- Uncorrected energy: -0.350 Ha/atom
- Relative energy among the computed polymorphs: 41.8 kJ/mol of atoms
- N(E_F): 1.15 states/eV/atom


Entry 4:
Computed, not measured: crystalline YMoW2 at its relaxed geometry at the PBE level of DFT.

The structure in POSCAR format:
```
YMoW2
1.0
-5.576 0.106 0.465
3.267 -1.528 4.280
0.120 2.618 0.843
Mo W Y
1 2 1
direct
0.000 0.500 0.500
0.000 0.000 0.000
0.500 0.500 0.000
0.500 0.000 0.500
```

Values from the calculation:
- Uncorrected energy: -0.373 Ha/atom
- Relative energy among the computed polymorphs: 30.8 kJ/mol of atoms
- N(E_F): 0.63 states/eV/atom